Entry 1:
ZnAuIO2: relaxed, PBE.

Results
Raw formation energy: 0.07 eV/atom
E above lowest polymorph: 0.000 eV per atom
Calculated total energy: -0.1150 Ha/atom
Density: 6.63 g/cm3
Total magnetization: 1.3 Bohr magnetons per cell

a = 3.8949 Å, b = 3.8949 Å, c = 6.9551 Å
α = 90.00°, β = 90.00°, γ = 90.00°
With the nearest neighbours (Å) after each atom.
Space group P4/mmm (No. 123)
Unique sites:
Zn 0.0000 0.0000 0.0000 (multiplicity 1)  4 O 1.95
Au 0.5000 0.5000 0.5000 (multiplicity 1)  4 I 2.75
I 0.0000 0.0000 0.5000 (multiplicity 1)  4 Au 2.75
O 0.0000 0.5000 0.0000 (multiplicity 2)  2 Zn 1.95

=====

Entry 2:
PrAlCd2: relaxed, PBE.

Results
Calculated formation energy: -0.19 eV/atom
Calculated total energy: -0.1022 Ha/atom
Density: 6.83 g/cm3
Total magnetization: 0.0 Bohr magnetons per cell

a = 7.2568 Å, b = 7.2568 Å, c = 7.2568 Å
α = 90.00°, β = 90.00°, γ = 90.00°
With the nearest neighbours (Å) after each atom.
Space group Fm-3m (No. 225)
Unique sites:
Pr 0.0000 0.0000 0.0000 (multiplicity 4)  8 Cd 3.14
Al 0.0000 0.0000 0.5000 (multiplicity 4)  8 Cd 3.14
Cd 0.2500 0.2500 0.2500 (multiplicity 8)  4 Pr 3.14, 4 Al 3.14